Computed, not measured: a PBEsol-optimized structure of Ca3AlAs3 at the meta-GGA SCAN level of DFT.

The calculation puts the final energy at -423.2 eV per cell. The density is 3.68 g/cm³. For the total magnetic moment, the calculation gives 0.0 μB/cell.

It has space group Pnma (No. 62), with a = 12.138 Å, b = 4.172 Å, c = 13.259 Å, α = 90.00°, β = 90.00° and γ = 90.00°. The asymmetric unit holds Ca at (0.066, 0.250, 0.108), Ca at (0.148, 0.750, 0.499), Ca at (0.228, 0.750, 0.787), Al at (0.060, 0.250, 0.702), As at (0.042, 0.250, 0.352), As at (0.104, 0.250, 0.887) and As at (0.248, 0.250, 0.624).

Computed, not measured: a PBEsol-optimized structure of Na2TlAs2 at the meta-GGA SCAN level of DFT.

The density is 5.45 g/cm³. The value obtained for the polymorph energy (0 for the lowest one) is 0 meV/atom. For the total magnetic moment, the calculation gives 0.0 μB/cell. The calculation puts the density of states at the Fermi level at 4.2 states/eV per cell.

It has space group P4/mbm (No. 127), with a = 7.705 Å, b = 7.705 Å, c = 4.104 Å, α = 90.00°, β = 90.00° and γ = 90.00°. The asymmetric unit holds Na at (0.181, 0.319, 0.000), Tl at (0.000, 0.000, 0.500) and As at (0.109, 0.609, 0.500).

Computed, not measured: a PBEsol-optimized structure of TaCrCu2 at the meta-GGA SCAN level of DFT.

The density is 11.24 g/cm³. The value obtained for the polymorph energy (0 for the lowest one) is 193 meV/atom. For the total magnetic moment, the calculation gives 5.1 μB/cell. The calculation puts the density of states at the Fermi level at 10.2 states/eV per cell.

It has space group R-3m (No. 166, hexagonal axes), with a = 2.6360 Å, b = 2.6360 Å, c = 26.5058 Å, α = 90.00°, β = 90.00° and γ = 120.00°. The asymmetric unit holds Ta at (0.0000, 0.0000, 0.0000), Cr at (0.0000, 0.0000, 0.5000) and Cu at (0.0000, 0.0000, 0.2452).

Computed, not measured: a PBEsol-optimized structure of Si2RhSe at the meta-GGA SCAN level of DFT.

The density is 6.59 g/cm³. The energy relative to the elements, uncorrected is 0.375 eV per atom. For the total magnetic moment, the calculation gives 0.0 μB/cell. The calculation puts the density of states at the Fermi level at 4.0 states/eV per cell.

It has space group I4/mmm (No. 139), with a = 3.992 Å, b = 3.992 Å, c = 7.529 Å, α = 90.00°, β = 90.00° and γ = 90.00°. The asymmetric unit holds Si at (0.000, 0.500, 0.250), Rh at (0.000, 0.000, 0.000) and Se at (0.000, 0.000, 0.500).

Computed, not measured: a PBEsol-optimized structure of Ga2Ag2Pb at the meta-GGA SCAN level of DFT.

The density is 9.44 g/cm³. The value obtained for the polymorph energy (0 for the lowest one) is 0 meV/atom. For the total magnetic moment, the calculation gives 0.0 μB/cell. The calculation puts the density of states at the Fermi level at 4.5 states/eV per cell.

It has space group I4/mmm (No. 139), with a = 3.940 Å, b = 3.940 Å, c = 12.752 Å, α = 90.00°, β = 90.00° and γ = 90.00°. The asymmetric unit holds Ga at (0.000, 0.500, 0.250), Ag at (0.000, 0.000, 0.108) and Pb at (0.000, 0.000, 0.500).

Computed, not measured: a PBEsol-optimized structure of K2Sb2Pt at the meta-GGA SCAN level of DFT.

The density is 6.16 g/cm³. The energy relative to the elements, uncorrected is -0.537 eV per atom. For the total magnetic moment, the calculation gives 0.0 μB/cell. The calculation puts the density of states at the Fermi level at 3.1 states/eV per cell.

It has space group P4/mbm (No. 127), with a = 6.947 Å, b = 6.947 Å, c = 5.773 Å, α = 90.00°, β = 90.00° and γ = 90.00°. The asymmetric unit holds K at (0.171, 0.329, 0.000), Sb at (0.147, 0.647, 0.500) and Pt at (0.000, 0.000, 0.500).

Computed, not measured: a PBEsol-optimized structure of Y2NiPt at the meta-GGA SCAN level of DFT.

The calculation puts the final energy at -145.7 eV per cell. The density is 9.14 g/cm³. For the total magnetic moment, the calculation gives 0.0 μB/cell. The calculation puts the density of states at the Fermi level at 2.2 states/eV per cell.

It has space group P4/mmm (No. 123), with a = 4.784 Å, b = 4.784 Å, c = 3.424 Å, α = 90.00°, β = 90.00° and γ = 90.00°. The asymmetric unit holds Y at (0.000, 0.500, 0.000), Ni at (0.000, 0.000, 0.500) and Pt at (0.500, 0.500, 0.500).

Computed, not measured: a PBEsol-optimized structure of Be2AsAu at the meta-GGA SCAN level of DFT.

The calculation puts the final energy at -98.7 eV per cell. The density is 7.81 g/cm³. For the total magnetic moment, the calculation gives 0.0 μB/cell. The calculation puts the density of states at the Fermi level at 0.7 states/eV per cell.

It has space group Pm (No. 6), with a = 3.596 Å, b = 3.813 Å, c = 4.840 Å, α = 90.00°, β = 111.84° and γ = 90.00°. The asymmetric unit holds Be at (0.000, 0.000, 0.000), Be at (0.484, 0.500, 0.971), As at (0.353, 0.000, 0.707) and Au at (0.153, 0.500, 0.309).

total magnetic moment of number 4 (Si2RhSe)? 0.0 μB/cell

Among the records above, which one has the lowest density? Ca3AlAs3

What is the total magnetic moment in the third record? 5.1 μB/cell